Compound: Ti12Sn6As
Source: the Alexandria database
Functional: GGA-PBE
Structure: optimized geometry

Lattice parameters (Å, degrees): 7.1122 7.1122 7.1122 92.71 92.71 92.71
Fractional positions:
Ti1 0.0383 0.9434 0.2864
Ti2 0.0566 0.7136 0.9617
Ti3 0.1351 0.4499 0.3602
Ti4 0.2864 0.0383 0.9434
Ti5 0.3602 0.1351 0.4499
Ti6 0.4499 0.3602 0.1351
Ti7 0.5501 0.6398 0.8649
Ti8 0.6398 0.8649 0.5501
Ti9 0.7136 0.9617 0.0566
Ti10 0.8649 0.5501 0.6398
Ti11 0.9434 0.2864 0.0383
Ti12 0.9617 0.0566 0.7136
Sn1 0.2052 0.3833 0.7774
Sn2 0.2226 0.7948 0.6167
Sn3 0.3833 0.7774 0.2052
Sn4 0.6167 0.2226 0.7948
Sn5 0.7774 0.2052 0.3833
Sn6 0.7948 0.6167 0.2226
As1 0.5000 0.5000 0.5000

Properties
As for the electronic total energy: -126.5 eV for the cell shown. As for the space group: R-3 (148).